Computed, not measured: a crystal of NbCuPb3 relaxed with PBEsol at the SCAN level of DFT.

The space group is Pm-3m (No. 221) and the conventional cell measures 5.4237, 5.4237 and 5.4237 Å, with angles of 90.00, 90.00 and 90.00 degrees. Symmetry generates all atoms from Nb at (0.0000, 0.0000, 0.0000), Cu at (0.5000, 0.5000, 0.5000) and Pb at (0.0000, 0.0000, 0.5000).

The value obtained for the total magnetization is 0.00 μB per formula unit. For the formation energy, the calculation gives 798 meV per atom.

=====

Computed, not measured: a crystal of NaMoPb2 relaxed with PBEsol at the SCAN level of DFT.

The space group is Fm-3m (No. 225) and the conventional cell measures 7.0593, 7.0593 and 7.0593 Å, with angles of 90.00, 90.00 and 90.00 degrees. Symmetry generates all atoms from Na at (0.0000, 0.0000, 0.0000), Mo at (0.0000, 0.0000, 0.5000) and Pb at (0.2500, 0.2500, 0.2500).

The value obtained for the total magnetization is 3.16 μB per formula unit. For the formation energy, the calculation gives 416 meV per atom.